Model w:
The following is a SCAN calculation of a PBEsol-optimized structure of Ta3Mo5, from the Alexandria database.

abc: 5.507 5.507 5.507
angles: 109.47 109.47 109.47
Sites, in units of the cell vectors:
Ta (0.500, 0.000, 0.500)
Ta (0.000, 0.500, 0.500)
Ta (0.500, 0.500, 0.000)
Mo (0.500, 0.500, 0.500)
Mo (0.500, 0.000, 0.000)
Mo (0.000, 0.000, 0.500)
Mo (0.000, 0.500, 0.000)
Mo (0.000, 0.000, 0.000)

**Space-group type**: No. 229
**Total magnetization**: 0.00 Bohr magnetons per cell

***

Model x:
The following is a SCAN calculation of a PBEsol-optimized structure of Ta3Mo5, from the Alexandria database.

abc: 4.488 4.488 6.362
angles: 90.00 90.00 90.00
Sites, in units of the cell vectors:
Mo (0.500, 0.500, 0.000)
Mo (0.000, 0.000, 0.000)
Mo (0.000, 0.000, 0.500)
Mo (0.500, 0.000, 0.248)
Mo (0.000, 0.500, 0.752)
Ta (0.500, 0.000, 0.755)
Ta (0.000, 0.500, 0.245)
Ta (0.500, 0.500, 0.500)

**Space-group type**: No. 115
**Total magnetization**: 0.00 Bohr magnetons per cell

***

Model y:
The following is a SCAN calculation of a PBEsol-optimized structure of Ta3Mo5, from the Alexandria database.

abc: 4.515 5.276 5.474
angles: 100.20 90.00 90.00
Sites, in units of the cell vectors:
Ta (0.000, 0.500, 0.500)
Ta (0.500, 0.748, 0.370)
Ta (0.500, 0.252, 0.630)
Mo (0.500, 0.246, 0.125)
Mo (0.000, 0.000, 0.751)
Mo (0.000, 0.500, 0.000)
Mo (0.000, 0.000, 0.249)
Mo (0.500, 0.754, 0.875)

**Space-group type**: No. 10
**Total magnetization**: 0.00 Bohr magnetons per cell

***

Model z:
The following is a SCAN calculation of a PBEsol-optimized structure of Ta3Mo5, from the Alexandria database.

abc: 3.178 4.478 9.427
angles: 103.74 99.70 90.00
Sites, in units of the cell vectors:
Ta (0.500, 0.000, 0.000)
Ta (0.128, 0.128, 0.256)
Ta (0.872, 0.872, 0.744)
Mo (0.000, 0.500, 0.000)
Mo (0.248, 0.748, 0.496)
Mo (0.626, 0.626, 0.252)
Mo (0.374, 0.374, 0.748)
Mo (0.752, 0.252, 0.504)

**Space-group type**: No. 71
**Total magnetization**: 0.00 Bohr magnetons per cell

***

Last place for stability: model y

***

Model w:
The following is a SCAN calculation of a PBEsol-optimized structure of Ta3Mo5, from the Alexandria database.

abc: 4.490 4.490 7.106
angles: 108.42 108.42 90.00
Sites, in units of the cell vectors:
Ta (0.249, 0.249, 0.499)
Ta (0.751, 0.751, 0.501)
Ta (0.000, 0.000, 0.000)
Mo (0.124, 0.624, 0.247)
Mo (0.500, 0.500, 0.000)
Mo (0.624, 0.124, 0.247)
Mo (0.376, 0.876, 0.753)
Mo (0.876, 0.376, 0.753)

**Space-group type**: No. 139
**Total magnetization**: 0.00 Bohr magnetons per cell

***

Model x:
The following is a SCAN calculation of a PBEsol-optimized structure of Ta3Mo5, from the Alexandria database.

abc: 5.482 5.482 5.533
angles: 109.53 109.53 108.98
Sites, in units of the cell vectors:
Mo (0.500, 0.500, 0.000)
Mo (0.500, 0.000, 0.500)
Mo (0.000, 0.500, 0.000)
Mo (0.000, 0.500, 0.500)
Mo (0.500, 0.000, 0.000)
Ta (0.000, 0.000, 0.000)
Ta (0.000, 0.000, 0.500)
Ta (0.500, 0.500, 0.500)

**Space-group type**: No. 69
**Total magnetization**: 0.00 Bohr magnetons per cell

***

Model y:
The following is a SCAN calculation of a PBEsol-optimized structure of Ta3Mo5, from the Alexandria database.

abc: 2.777 2.777 17.751
angles: 90.00 90.00 110.24
Sites, in units of the cell vectors:
Mo (0.000, 0.000, 0.126)
Mo (0.000, 0.000, 0.874)
Mo (0.500, 0.500, 0.500)
Mo (0.000, 0.000, 0.379)
Mo (0.000, 0.000, 0.621)
Ta (0.500, 0.500, 0.748)
Ta (0.500, 0.500, 0.252)
Ta (0.500, 0.500, 0.000)

**Space-group type**: No. 65
**Total magnetization**: 0.00 Bohr magnetons per cell

***

Model z:
The following is a SCAN calculation of a PBEsol-optimized structure of Ta3Mo5, from the Alexandria database.

abc: 3.170 4.528 9.365
angles: 103.99 99.74 90.00
Sites, in units of the cell vectors:
Mo (0.497, 0.997, 0.994)
Mo (0.375, 0.375, 0.751)
Mo (0.878, 0.878, 0.756)
Mo (0.997, 0.497, 0.994)
Mo (0.753, 0.253, 0.507)
Ta (0.621, 0.621, 0.242)
Ta (0.125, 0.125, 0.250)
Ta (0.253, 0.753, 0.506)

**Space-group type**: No. 44
**Total magnetization**: 0.00 Bohr magnetons per cell

***

Last place for stability: model y

***

Model w:
The following is a SCAN calculation of a PBEsol-optimized structure of Ta3Mo5, from the Alexandria database.

abc: 3.177 6.354 6.354
angles: 90.00 90.00 90.00
Sites, in units of the cell vectors:
Mo (0.000, 0.747, 0.747)
Mo (0.000, 0.253, 0.747)
Mo (0.000, 0.253, 0.253)
Mo (0.500, 0.500, 0.500)
Mo (0.000, 0.747, 0.253)
Ta (0.500, 0.500, 0.000)
Ta (0.500, 0.000, 0.500)
Ta (0.500, 0.000, 0.000)

**Space-group type**: No. 123
**Total magnetization**: 0.00 Bohr magnetons per cell

***

Model x:
The following is a SCAN calculation of a PBEsol-optimized structure of Ta3Mo5, from the Alexandria database.

abc: 4.495 4.495 7.774
angles: 73.20 73.20 60.00
Sites, in units of the cell vectors:
Ta (0.877, 0.877, 0.370)
Ta (0.750, 0.750, 0.750)
Ta (0.373, 0.373, 0.880)
Mo (0.624, 0.624, 0.128)
Mo (0.000, 0.000, 0.000)
Mo (0.126, 0.126, 0.621)
Mo (0.500, 0.500, 0.500)
Mo (0.250, 0.250, 0.250)

**Space-group type**: No. 160
**Total magnetization**: 0.00 Bohr magnetons per cell

***

Model y:
The following is a SCAN calculation of a PBEsol-optimized structure of Ta3Mo5, from the Alexandria database.

abc: 3.175 6.365 7.106
angles: 116.61 90.00 90.00
Sites, in units of the cell vectors:
Mo (0.500, 0.627, 0.500)
Mo (0.500, 0.880, 0.000)
Mo (0.500, 0.127, 0.500)
Mo (0.000, 0.248, 0.253)
Mo (0.000, 0.995, 0.747)
Ta (0.500, 0.366, 0.000)
Ta (0.000, 0.502, 0.747)
Ta (0.000, 0.756, 0.253)

**Space-group type**: No. 38
**Total magnetization**: 0.00 Bohr magnetons per cell

***

Last place for stability: model x

***

Model w:
The following is a SCAN calculation of a PBEsol-optimized structure of Ta3Mo5, from the Alexandria database.

abc: 4.512 4.512 7.732
angles: 73.03 73.03 60.00
Sites, in units of the cell vectors:
Ta (0.376, 0.376, 0.871)
Ta (0.624, 0.624, 0.129)
Ta (0.000, 0.000, 0.000)
Mo (0.752, 0.752, 0.743)
Mo (0.126, 0.126, 0.621)
Mo (0.248, 0.248, 0.257)
Mo (0.874, 0.874, 0.379)
Mo (0.500, 0.500, 0.500)

**Space-group type**: No. 166
**Total magnetization**: 0.00 Bohr magnetons per cell

***

Model x:
The following is a SCAN calculation of a PBEsol-optimized structure of Ta3Mo5, from the Alexandria database.

abc: 3.168 3.168 12.817
angles: 90.00 90.00 90.00
Sites, in units of the cell vectors:
Ta (0.000, 0.000, 0.503)
Ta (0.000, 0.000, 0.254)
Ta (0.500, 0.500, 0.118)
Mo (0.000, 0.000, 0.749)
Mo (0.000, 0.000, 0.992)
Mo (0.500, 0.500, 0.873)
Mo (0.500, 0.500, 0.378)
Mo (0.500, 0.500, 0.632)

**Space-group type**: No. 99
**Total magnetization**: 0.00 Bohr magnetons per cell

***

Model y:
The following is a SCAN calculation of a PBEsol-optimized structure of Ta3Mo5, from the Alexandria database.

abc: 3.170 4.524 8.955
angles: 90.00 90.00 90.00
Sites, in units of the cell vectors:
Ta (0.500, 0.000, 0.751)
Ta (0.000, 0.500, 0.756)
Ta (0.500, 0.500, 0.494)
Mo (0.000, 0.500, 0.244)
Mo (0.000, 0.000, 0.006)
Mo (0.500, 0.000, 0.249)
Mo (0.500, 0.500, 0.007)
Mo (0.000, 0.000, 0.493)

**Space-group type**: No. 25
**Total magnetization**: 0.00 Bohr magnetons per cell

***

Last place for stability: model w